# PBE PmNd2DyY5, relaxed
# energy of formation from the pure elements: 0.250 eV per atom
# DOS(E_F): 1.1675 states/eV per atom
# volume: 33.23 A^3/atom
data_PmNd2DyY5
_chemical_formula_sum 'Pm4 Nd8 Dy4 Y20'
_space_group_name_H-M_alt 'I 4/m c m'
_space_group_IT_number 140
_space_group_name_Hall '-I 4 2c'
_cell_length_a 8.7511
_cell_length_b 8.7511
_cell_length_c 15.6202
_cell_angle_alpha 90.00
_cell_angle_beta 90.00
_cell_angle_gamma 90.00
loop_
_atom_site_label
_atom_site_type_symbol
_atom_site_fract_x
_atom_site_fract_y
_atom_site_fract_z
_atom_site_occupancy
Pm1 Pm 0.0000 0.0000 0.2500 1
Nd1 Nd 0.1169 0.3831 0.0000 1
Dy1 Dy 0.0000 0.5000 0.2500 1
Y1 Y 0.0000 0.0000 0.0000 1
Y2 Y 0.2097 0.2903 0.3622 1


# PBE NaAcPuO4, relaxed
# ΔE_f (raw): -2739.6 meV/atom
# DOS(E_F): 0.6995 states/eV per atom
# volume: 19.88 A^3/atom
data_NaAcPuO4
_chemical_formula_sum 'Na4 Ac4 Pu4 O16'
_space_group_name_H-M_alt 'I m m a'
_space_group_IT_number 74
_space_group_name_Hall '-I 2b 2'
_cell_length_a 7.0184
_cell_length_b 7.6999
_cell_length_c 10.2995
_cell_angle_alpha 90.00
_cell_angle_beta 90.00
_cell_angle_gamma 90.00
loop_
_atom_site_label
_atom_site_type_symbol
_atom_site_fract_x
_atom_site_fract_y
_atom_site_fract_z
_atom_site_occupancy
Na1 Na 0.0000 0.2500 0.0906 1
Ac1 Ac 0.0000 0.0000 0.5000 1
Pu1 Pu 0.2500 0.2500 0.7500 1
O1 O 0.0000 0.0636 0.7416 1
O2 O 0.2250 0.2500 0.5335 1


# PBE As2OsW, relaxed
# energy of formation from the pure elements: 0.385 eV per atom
# DOS(E_F): 0.5773 states/eV per atom
# volume: 18.22 A^3/atom
# energy above the lowest structure with this stoichiometry: 29.6 kJ per mole of atoms
data_As2OsW
_chemical_formula_sum 'As4 Os2 W2'
_space_group_name_H-M_alt 'C m m 2'
_space_group_IT_number 35
_space_group_name_Hall 'C 2 -2'
_cell_length_a 2.9047
_cell_length_b 4.8991
_cell_length_c 10.2445
_cell_angle_alpha 90.00
_cell_angle_beta 90.00
_cell_angle_gamma 90.00
loop_
_atom_site_label
_atom_site_type_symbol
_atom_site_fract_x
_atom_site_fract_y
_atom_site_fract_z
_atom_site_occupancy
As1 As 0.0000 0.0000 0.0000 1
As2 As 0.0000 0.5000 0.3545 1
Os1 Os 0.0000 0.5000 0.7914 1
W1 W 0.0000 0.0000 0.5750 1


# PBE Nd3As5Pd12, relaxed
# energy of formation from the pure elements: -0.306 eV per atom
# DOS(E_F): 0.5624 states/eV per atom
# volume: 22.25 A^3/atom
data_Nd3As5Pd12
_chemical_formula_sum 'Nd24 As40 Pd96'
_space_group_name_H-M_alt 'I a -3 d'
_space_group_IT_number 230
_space_group_name_Hall '-I 4bd 2c 3'
_cell_length_a 15.2682
_cell_length_b 15.2682
_cell_length_c 15.2682
_cell_angle_alpha 90.00
_cell_angle_beta 90.00
_cell_angle_gamma 90.00
loop_
_atom_site_label
_atom_site_type_symbol
_atom_site_fract_x
_atom_site_fract_y
_atom_site_fract_z
_atom_site_occupancy
Nd1 Nd 0.0000 0.2500 0.1250 1
As1 As 0.0000 0.0000 0.0000 1
As2 As 0.0000 0.2500 0.3750 1
Pd1 Pd 0.0278 0.0652 0.6396 1


# PBE MnOsPt2, relaxed
# energy of formation from the pure elements: 0.510 eV per atom
# DOS(E_F): 2.1039 states/eV per atom
# volume: 14.58 A^3/atom
data_MnOsPt2
_chemical_formula_sum 'Mn4 Os4 Pt8'
_space_group_name_H-M_alt 'F m -3 m'
_space_group_IT_number 225
_space_group_name_Hall '-F 4 2 3'
_cell_length_a 6.1564
_cell_length_b 6.1564
_cell_length_c 6.1564
_cell_angle_alpha 90.00
_cell_angle_beta 90.00
_cell_angle_gamma 90.00
loop_
_atom_site_label
_atom_site_type_symbol
_atom_site_fract_x
_atom_site_fract_y
_atom_site_fract_z
_atom_site_occupancy
Mn1 Mn 0.0000 0.0000 0.0000 1
Os1 Os 0.0000 0.0000 0.5000 1
Pt1 Pt 0.2500 0.2500 0.2500 1


# PBE SiPbSeN2, relaxed
# ΔE_f (raw): 839.4 meV/atom
# DOS(E_F): 0.5791 states/eV per atom
# volume: 19.25 A^3/atom
# energy above the lowest structure with this stoichiometry: 17.5 kJ per mole of atoms
data_SiPbSeN2
_chemical_formula_sum 'Si1 Pb1 Se1 N2'
_space_group_name_H-M_alt 'P 4/m m m'
_space_group_IT_number 123
_space_group_name_Hall '-P 4 2'
_cell_length_a 3.7232
_cell_length_b 3.7232
_cell_length_c 6.9437
_cell_angle_alpha 90.00
_cell_angle_beta 90.00
_cell_angle_gamma 90.00
loop_
_atom_site_label
_atom_site_type_symbol
_atom_site_fract_x
_atom_site_fract_y
_atom_site_fract_z
_atom_site_occupancy
Si1 Si 0.0000 0.0000 0.0000 1
Pb1 Pb 0.0000 0.0000 0.5000 1
Se1 Se 0.5000 0.5000 0.5000 1
N1 N 0.0000 0.5000 0.0000 1


# PBE Na3Tb3CeSe8, relaxed
# ΔE_f (raw): -1675.9 meV/atom
# volume: 28.17 A^3/atom
data_Na3Tb3CeSe8
_chemical_formula_sum 'Na9 Tb9 Ce3 Se24'
_space_group_name_H-M_alt 'R -3 m'
_space_group_IT_number 166
_space_group_name_Hall '-R 3 2"'
_cell_length_a 8.3415
_cell_length_b 8.3415
_cell_length_c 21.0403
_cell_angle_alpha 90.00
_cell_angle_beta 90.00
_cell_angle_gamma 120.00
loop_
_atom_site_label
_atom_site_type_symbol
_atom_site_fract_x
_atom_site_fract_y
_atom_site_fract_z
_atom_site_occupancy
Na1 Na 0.0000 0.5000 0.0000 1
Tb1 Tb 0.0000 0.5000 0.5000 1
Ce1 Ce 0.0000 0.0000 0.5000 1
Se1 Se 0.0000 0.0000 0.2436 1
Se2 Se 0.0013 0.5006 0.2420 1


# PBE AcSnF6, relaxed
# ΔE_f (raw): -3171.5 meV/atom
# DOS(E_F): 0.3977 states/eV per atom
# volume: 23.98 A^3/atom
data_AcSnF6
_chemical_formula_sum 'Ac2 Sn2 F12'
_space_group_name_H-M_alt 'C 1 2/m 1'
_space_group_IT_number 12
_space_group_name_Hall '-C 2y'
_cell_length_a 11.1669
_cell_length_b 6.5298
_cell_length_c 6.4308
_cell_angle_alpha 90.00
_cell_angle_beta 125.08
_cell_angle_gamma 90.00
loop_
_atom_site_label
_atom_site_type_symbol
_atom_site_fract_x
_atom_site_fract_y
_atom_site_fract_z
_atom_site_occupancy
Ac1 Ac 0.0000 0.0000 0.0000 1
Sn1 Sn 0.0000 0.5000 0.5000 1
F1 F 0.0198 0.2636 0.2832 1
F2 F 0.2363 0.5000 0.7759 1


# PBE LiTbPtRh, relaxed
# energy of formation from the pure elements: -0.741 eV per atom
# DOS(E_F): 0.5290 states/eV per atom
# volume: 17.09 A^3/atom
# energy above the lowest structure with this stoichiometry: 0.0 kJ per mole of atoms
data_LiTbPtRh
_chemical_formula_sum 'Li1 Tb1 Pt1 Rh1'
_space_group_name_H-M_alt 'P m m m'
_space_group_IT_number 47
_space_group_name_Hall '-P 2 2'
_cell_length_a 3.8156
_cell_length_b 4.1307
_cell_length_c 4.3384
_cell_angle_alpha 90.00
_cell_angle_beta 90.00
_cell_angle_gamma 90.00
loop_
_atom_site_label
_atom_site_type_symbol
_atom_site_fract_x
_atom_site_fract_y
_atom_site_fract_z
_atom_site_occupancy
Li1 Li 0.0000 0.0000 0.0000 1
Tb1 Tb 0.0000 0.5000 0.5000 1
Pt1 Pt 0.5000 0.5000 0.0000 1
Rh1 Rh 0.5000 0.0000 0.5000 1


Among the records above, which one has the highest volume? PmNd2DyY5